## EuBrO (PBE)

Data for an optimized crystal structure of EuBrO.

DOS at the Fermi energy: 19.1 states/eV per cell
Formation energy from raw total energies: -1.603 eV/atom

Lattice parameters (Å, degrees): 6.5249 6.5249 6.5249 90.00 90.00 90.00
Space group F-43m (No. 216)
One atom of each set of equivalent atoms:
Eu  0.0000  0.0000  0.0000 [4 per cell]
Br  0.2500  0.2500  0.7500 [4 per cell]
O  0.2500  0.2500  0.2500 [4 per cell]

---

## CaCo2Os (PBE)

Data for an optimized crystal structure of CaCo2Os.

Energy relative to the lowest polymorph listed for this composition: 0.02 eV per formula unit
DOS at the Fermi energy: 4.2 states/eV per cell
DFT formation energy: 0.362 eV per atom

Lattice parameters (Å, degrees): 2.8081 2.8081 7.5608 90.00 90.00 90.00
Space group P4/mmm (No. 123)
One atom of each set of equivalent atoms:
Ca  0.0000  0.0000  0.0000 [1 per cell]
Co  0.5000  0.5000  0.2952 [2 per cell]
Os  0.0000  0.0000  0.5000 [1 per cell]

---

## SbWSe2 (PBE)

Data for an optimized crystal structure of SbWSe2.

DOS at the Fermi energy: 5.0 states/eV per cell
Formation energy from raw total energies: 0.049 eV/atom

Lattice parameters (Å, degrees): 9.9602 3.4228 6.0546 90.00 106.03 90.00
Space group Cm (No. 8)
One atom of each set of equivalent atoms:
Sb  0.0000  0.0000  0.0000 [2 per cell]
W  0.2826  0.0000  0.0032 [2 per cell]
Se  0.1590  0.5000  0.6925 [2 per cell]
Se  0.3422  0.5000  0.3307 [2 per cell]

---

| no. | calculated volume (Å³/atom) |
| --- | --- |
| 1 | 23.15 |
| 2 | 14.90 |
| 3 | 24.80 |